Entry 1:
A geometry-optimized MgAgPd structure, computed with GGA-PBE.

Cell: 2.985 7.779 7.779 Å, 120.00 90.00 90.00°
Element x y z (fractional)
Ag1 0.000 0.000 0.701
Ag2 0.000 0.701 0.000
Ag3 0.000 0.299 0.299
Pd1 0.000 0.667 0.333
Pd2 0.000 0.333 0.667
Pd3 0.500 0.000 0.000
Mg1 0.500 0.000 0.369
Mg2 0.500 0.631 0.631
Mg3 0.500 0.369 0.000

For the energy above the most stable polymorph in this dataset, the calculation gives 62 meV/atom. For the formation energy, the calculation gives -0.357 eV per atom.

Entry 2:
A geometry-optimized Li4BrCl structure, computed with GGA-PBE.

Cell: 5.621 5.621 5.621 Å, 60.00 60.00 60.00°
Each line ends with the local moment (μB).
Element x y z (fractional)
Li1 0.874 0.375 0.375  0.13
Li2 0.375 0.375 0.874  0.13
Li3 0.375 0.874 0.375  0.13
Li4 0.375 0.375 0.375  0.13
Br1 0.750 0.750 0.750  0.09
Cl1 0.000 0.000 0.000  0.08

The calculation puts the uncorrected formation energy at -496 meV per atom.

Entry 3:
A geometry-optimized LaTcPd2I structure, computed with GGA-PBE.

Cell: 5.271 5.043 5.271 Å, 90.00 90.00 90.00°
Each line ends with the local moment (μB).
Element x y z (fractional)
I1 0.500 0.500 0.500  0.05
Tc1 0.000 0.500 0.000  1.81
Pd1 0.000 0.000 0.500  0.01
Pd2 0.500 0.000 0.000  0.01
La1 0.000 0.000 0.000  -0.06

For the energy above the most stable polymorph in this dataset, the calculation gives 0 meV/atom. The calculation puts the uncorrected formation energy at 1029 meV per atom.

Entry 4:
A geometry-optimized Zn2CuTe structure, computed with GGA-PBE.

Cell: 2.940 3.916 6.444 Å, 90.00 90.00 90.00°
Element x y z (fractional)
Cu1 0.000 0.000 0.449
Te1 0.500 0.500 0.727
Zn1 0.000 0.000 0.058
Zn2 0.500 0.500 0.266

For the energy above the most stable polymorph in this dataset, the calculation gives 161 meV/atom. The calculation puts the uncorrected formation energy at 180 meV per atom.

| no. | total magnetic moment (Bohr magnetons per cell) | D(E_F) (states/eV per cell) |
| --- | --- | --- |
| 1 | 0.0 | 3.39 |
| 2 | 2.0 | 1.87 |
| 3 | 2.1 | 4.25 |
| 4 | 0.0 | 1.36 |